Version P
Below is a relaxed KLa2Y crystal, with properties calculated at the PBE level.

a = 3.7082 Å, b = 3.7082 Å, c = 11.9168 Å
α = 90.00°, β = 90.00°, γ = 90.00°
Last column: nearest neighbours and their distance in Å.
Space group P4mm (No. 99)
Asymmetric unit:
K 0.0000 0.0000 0.0000 x1  4 K 3.71
La 0.0000 0.0000 0.5144 x1  4 Y 3.55, 8 La 3.64-3.71
La 0.5000 0.5000 0.3021 x1  8 La 3.64-3.71
Y 0.5000 0.5000 0.7148 x1  4 La 3.55, 4 Y 3.71



Version Q
Below is a relaxed KLa2Y crystal, with properties calculated at the PBE level.

a = 7.7633 Å, b = 11.0628 Å, c = 3.6428 Å
α = 90.00°, β = 90.00°, γ = 90.00°
Last column: nearest neighbours and their distance in Å.
Space group Cmmm (No. 65)
Asymmetric unit:
K 0.0000 0.0000 0.0000 x2  2 K 3.64, 8 La 3.84, 2 Y 3.88
La 0.2500 0.2500 0.5000 x4  4 La 3.64-3.88, 4 K 3.84, 4 Y 3.84
Y 0.0000 0.5000 0.0000 x2  2 Y 3.64, 8 La 3.84, 2 K 3.88



Version R
Below is a relaxed KLa2Y crystal, with properties calculated at the PBE level.

a = 5.3393 Å, b = 5.3393 Å, c = 5.5141 Å
α = 90.00°, β = 90.00°, γ = 90.00°
Last column: nearest neighbours and their distance in Å.
Space group P4/mmm (No. 123)
Asymmetric unit:
K 0.0000 0.0000 0.0000 x1  4 Y 3.78, 8 La 3.84
La 0.0000 0.5000 0.5000 x2  4 La 3.78, 4 K 3.84, 4 Y 3.84
Y 0.5000 0.5000 0.0000 x1  4 K 3.78, 8 La 3.84



Of them, the most stable is version P and the least stable is version R.



Version P
Below is a relaxed KLa2Y crystal, with properties calculated at the PBE level.

a = 9.3987 Å, b = 9.3987 Å, c = 7.0116 Å
α = 90.00°, β = 90.00°, γ = 90.00°
Last column: nearest neighbours and their distance in Å.
Space group I-42d (No. 122)
Asymmetric unit:
K 0.0000 0.0000 0.0000 x4  4 La 3.45, 2 Y 3.51
La 0.2480 0.2500 0.6250 x8  2 Y 3.42, 2 K 3.45, 2 La 3.51
Y 0.0000 0.0000 0.5000 x4  4 La 3.42, 2 K 3.51



Version Q
Below is a relaxed KLa2Y crystal, with properties calculated at the PBE level.

a = 12.7199 Å, b = 3.6393 Å, c = 6.9652 Å
α = 90.00°, β = 99.60°, γ = 90.00°
Last column: nearest neighbours and their distance in Å.
Space group Cm (No. 8)
Asymmetric unit:
K 0.0000 0.0000 0.0000 x2  2 K 3.64, 3 Y 3.83-3.96, 5 La 3.92-3.94
La 0.2356 0.0000 0.6974 x2  2 Y 3.57, 5 La 3.59-3.82, 1 K 3.94
La 0.4987 0.0000 0.5004 x2  5 La 3.59-3.82, 3 Y 3.67-3.94, 4 K 3.92-3.93
Y 0.2604 0.5000 0.2671 x2  5 La 3.57-3.94, 2 Y 3.64, 3 K 3.83-3.96



Version R
Below is a relaxed KLa2Y crystal, with properties calculated at the PBE level.

a = 3.6563 Å, b = 3.6563 Å, c = 12.2512 Å
α = 90.00°, β = 90.00°, γ = 90.00°
Last column: nearest neighbours and their distance in Å.
Space group P4/mmm (No. 123)
Asymmetric unit:
K 0.0000 0.0000 0.0000 x1  4 K 3.66
La 0.5000 0.5000 0.2911 x2  4 Y 3.64, 4 La 3.66
Y 0.0000 0.0000 0.5000 x1  8 La 3.64, 4 Y 3.66



Version S
Below is a relaxed KLa2Y crystal, with properties calculated at the PBE level.

a = 5.3587 Å, b = 5.3587 Å, c = 10.9415 Å
α = 90.00°, β = 90.00°, γ = 90.00°
Last column: nearest neighbours and their distance in Å.
Space group I-4m2 (No. 119)
Asymmetric unit:
K 0.0000 0.0000 0.0000 x2  8 La 3.79-3.83, 4 Y 3.83
La 0.0000 0.0000 0.5000 x2  4 K 3.79, 4 La 3.83, 4 Y 3.83
La 0.0000 0.5000 0.7500 x2  4 Y 3.79, 4 La 3.83, 4 K 3.83
Y 0.0000 0.5000 0.2500 x2  8 La 3.79-3.83, 4 K 3.83



Of them, the most stable is version R and the least stable is version P.



Version P
Below is a relaxed KLa2Y crystal, with properties calculated at the PBE level.

a = 3.8117 Å, b = 6.2207 Å, c = 13.4617 Å
α = 90.00°, β = 90.00°, γ = 90.00°
Last column: nearest neighbours and their distance in Å.
Space group Cmm2 (No. 35)
Asymmetric unit:
K 0.0000 0.0000 0.0000 x2  6 K 3.65-3.81
La 0.0000 0.0000 0.4923 x2  2 Y 3.54, 8 La 3.59-3.81
La 0.0000 0.5000 0.7184 x2  8 La 3.59-3.81
Y 0.0000 0.5000 0.2710 x2  2 La 3.54, 6 Y 3.65-3.81



Version Q
Below is a relaxed KLa2Y crystal, with properties calculated at the PBE level.

a = 3.8305 Å, b = 6.4547 Å, c = 12.9326 Å
α = 90.00°, β = 90.00°, γ = 90.00°
Last column: nearest neighbours and their distance in Å.
Space group Immm (No. 71)
Asymmetric unit:
K 0.0000 0.0000 0.0000 x2  4 Y 3.75, 2 K 3.83, 4 La 3.95
La 0.0000 0.5000 0.2326 x4  2 Y 3.57, 6 La 3.78-3.83, 2 K 3.95
Y 0.0000 0.0000 0.5000 x2  4 La 3.57, 4 K 3.75, 2 Y 3.83



Version R
Below is a relaxed KLa2Y crystal, with properties calculated at the PBE level.

a = 5.3698 Å, b = 5.3698 Å, c = 10.9470 Å
α = 90.00°, β = 90.00°, γ = 90.00°
Last column: nearest neighbours and their distance in Å.
Space group I4/mmm (No. 139)
Asymmetric unit:
K 0.0000 0.0000 0.0000 x2  4 Y 3.80, 8 La 3.83
La 0.0000 0.5000 0.2500 x4  4 La 3.80, 4 K 3.83, 4 Y 3.83
Y 0.0000 0.0000 0.5000 x2  4 K 3.80, 8 La 3.83



Version S
Below is a relaxed KLa2Y crystal, with properties calculated at the PBE level.

a = 8.5967 Å, b = 8.5967 Å, c = 8.5967 Å
α = 90.00°, β = 90.00°, γ = 90.00°
Last column: nearest neighbours and their distance in Å.
Space group Fm-3m (No. 225)
Asymmetric unit:
K 0.0000 0.0000 0.0000 x4  8 La 3.72
La 0.2500 0.2500 0.2500 x8  4 K 3.72, 4 Y 3.72
Y 0.0000 0.0000 0.5000 x4  8 La 3.72



Of them, the most stable is version P and the least stable is version S.



Version P
Below is a relaxed K2LaY crystal, with properties calculated at the PBE level.

a = 6.3202 Å, b = 6.3202 Å, c = 4.4867 Å
α = 90.00°, β = 90.00°, γ = 90.00°
Last column: nearest neighbours and their distance in Å.
Space group P4/mmm (No. 123)
Asymmetric unit:
K 0.0000 0.5000 0.0000 x2  4 Y 3.88, 4 La 3.88
La 0.0000 0.0000 0.5000 x1  8 K 3.88
Y 0.5000 0.5000 0.5000 x1  8 K 3.88



Version Q
Below is a relaxed K2LaY crystal, with properties calculated at the PBE level.

a = 3.7294 Å, b = 7.2958 Å, c = 13.7916 Å
α = 90.00°, β = 90.00°, γ = 90.00°
Last column: nearest neighbours and their distance in Å.
Space group Imm2 (No. 44)
Asymmetric unit:
K 0.0000 0.0000 0.0000 x2  4 K 3.73-4.03, 4 Y 4.11
K 0.0000 0.5000 0.2413 x2  4 K 3.73-4.03, 2 Y 4.10, 4 La 4.12
La 0.0000 0.5000 0.7725 x2  2 Y 3.38, 2 La 3.73
Y 0.0000 0.0000 0.4767 x2  2 La 3.38, 2 Y 3.73



Version R
Below is a relaxed K2LaY crystal, with properties calculated at the PBE level.

a = 12.6424 Å, b = 3.6490 Å, c = 8.1259 Å
α = 90.00°, β = 94.91°, γ = 90.00°
Last column: nearest neighbours and their distance in Å.
Space group Cm (No. 8)
Asymmetric unit:
K 0.0000 0.0000 0.0000 x2  3 K 3.65-3.82, 2 Y 4.08
K 0.2440 0.0000 0.7524 x2  3 K 3.65-3.82, 2 La 4.08
La 0.2586 0.5000 0.3063 x2  3 Y 3.52-3.72, 2 La 3.65
Y 0.4865 0.0000 0.4473 x2  3 La 3.52-3.72, 2 Y 3.65



Version S
Below is a relaxed K2LaY crystal, with properties calculated at the PBE level.

a = 3.8287 Å, b = 6.2737 Å, c = 14.5656 Å
α = 90.00°, β = 90.00°, γ = 90.00°
Last column: nearest neighbours and their distance in Å.
Space group Cmmm (No. 65)
Asymmetric unit:
K 0.0000 0.0000 0.2450 x4  6 K 3.67-3.83, 2 Y 4.05
La 0.0000 0.5000 0.5000 x2  6 La 3.67-3.83
Y 0.0000 0.5000 0.0000 x2  6 Y 3.67-3.83, 4 K 4.05



Of them, the most stable is version S and the least stable is version P.



Version P
Below is a relaxed K2LaY crystal, with properties calculated at the PBE level.

a = 4.9475 Å, b = 4.9475 Å, c = 29.5113 Å
α = 90.00°, β = 90.00°, γ = 90.00°
Last column: nearest neighbours and their distance in Å.
Space group I-42d (No. 122)
Asymmetric unit:
K 0.2458 0.2500 0.1250 x8  4 K 3.47-3.53
La 0.0000 0.0000 0.5000 x4  4 Y 3.50
Y 0.0000 0.0000 0.0000 x4  4 La 3.50



Version Q
Below is a relaxed K2LaY crystal, with properties calculated at the PBE level.

a = 3.7233 Å, b = 3.7233 Å, c = 43.8447 Å
α = 90.00°, β = 90.00°, γ = 120.00°
Last column: nearest neighbours and their distance in Å.
Space group R-3m (No. 166, hexagonal axes)
Asymmetric unit:
K 0.0000 0.0000 0.2479 x6  6 K 3.72, 3 Y 4.16
La 0.0000 0.0000 0.0000 x3  6 La 3.72
Y 0.0000 0.0000 0.5000 x3  6 Y 3.72, 6 K 4.16



Version R
Below is a relaxed K2LaY crystal, with properties calculated at the PBE level.

a = 5.3493 Å, b = 5.4123 Å, c = 13.1301 Å
α = 90.00°, β = 90.00°, γ = 90.00°
Last column: nearest neighbours and their distance in Å.
Space group Cmm2 (No. 35)
Asymmetric unit:
K 0.0000 0.0000 0.0000 x2  4 K 3.80
K 0.0000 0.5000 0.3077 x2  4 K 3.80, 4 Y 4.23-4.25
La 0.0000 0.5000 0.7374 x2  4 Y 3.57-3.59, 4 La 3.80
Y 0.0000 0.0000 0.5575 x2  4 La 3.57-3.59, 4 Y 3.80



Of them, the most stable is version R and the least stable is version P.